# HgTe2HI (GGA-PBE, optimized geometry)
data_HgTe2HI
_chemical_formula_sum 'Hg1 Te2 H1 I1'
_symmetry_space_group_name_H-M 'P 4/m m m'
_symmetry_Int_Tables_number 123
_symmetry_space_group_name_Hall '-P 4 2'
_cell_length_a 5.7145
_cell_length_b 5.7145
_cell_length_c 6.2139
_cell_angle_alpha 90.00
_cell_angle_beta 90.00
_cell_angle_gamma 90.00
loop_
_atom_site_label
_atom_site_type_symbol
_atom_site_fract_x
_atom_site_fract_y
_atom_site_fract_z
Hg1 Hg 0.0000 0.0000 0.0000
Te1 Te 0.0000 0.5000 0.0000
H1 H 0.5000 0.5000 0.5000
I1 I 0.0000 0.0000 0.5000
# - crystal system = tetragonal
# - calculated total energy (eV/cell) = -7.1
# - spin magnetization (μB/atom) = 0.65

=====

# TlHgHI2 (GGA-PBE, optimized geometry)
data_TlHgHI2
_chemical_formula_sum 'Tl1 Hg1 H1 I2'
_symmetry_space_group_name_H-M 'P 4/m m m'
_symmetry_Int_Tables_number 123
_symmetry_space_group_name_Hall '-P 4 2'
_cell_length_a 6.3416
_cell_length_b 6.3416
_cell_length_c 3.8122
_cell_angle_alpha 90.00
_cell_angle_beta 90.00
_cell_angle_gamma 90.00
loop_
_atom_site_label
_atom_site_type_symbol
_atom_site_fract_x
_atom_site_fract_y
_atom_site_fract_z
Tl1 Tl 0.0000 0.0000 0.0000
Hg1 Hg 0.5000 0.5000 0.5000
H1 H 0.5000 0.5000 0.0000
I1 I 0.0000 0.5000 0.5000
# - crystal system = tetragonal
# - calculated total energy (eV/cell) = -9.9
# - spin magnetization (μB/atom) = 0.00

=====

# ZnHg2HI (GGA-PBE, optimized geometry)
data_ZnHg2HI
_chemical_formula_sum 'Zn1 Hg2 H1 I1'
_symmetry_space_group_name_H-M 'P 4/m m m'
_symmetry_Int_Tables_number 123
_symmetry_space_group_name_Hall '-P 4 2'
_cell_length_a 6.1944
_cell_length_b 6.1944
_cell_length_c 3.8407
_cell_angle_alpha 90.00
_cell_angle_beta 90.00
_cell_angle_gamma 90.00
loop_
_atom_site_label
_atom_site_type_symbol
_atom_site_fract_x
_atom_site_fract_y
_atom_site_fract_z
Zn1 Zn 0.0000 0.0000 0.0000
Hg1 Hg 0.0000 0.5000 0.5000
H1 H 0.5000 0.5000 0.5000
I1 I 0.5000 0.5000 0.0000
# - crystal system = tetragonal
# - calculated total energy (eV/cell) = -5.2
# - spin magnetization (μB/atom) = 0.00